Below is crystalline SmYHgPd at its relaxed geometry, with properties calculated at the GGA-PBE level.

Values from the calculation:
Energy of formation from the pure elements   -0.621 eV/atom
Final energy   -4.791 eV per atom
ΔE to the lowest computed polymorph   36 meV/atom

POSCAR file:
```
SmYHgPd
1.0
5.172 0.000 0.000
2.586 4.479 0.000
2.586 1.493 4.223
Pd Hg Sm Y
1 1 1 1
direct
0.000 0.000 0.000 Pd
0.500 0.500 0.500 Hg
0.250 0.250 0.250 Sm
0.750 0.750 0.750 Y
```